(1)
{"formula": "CsNaCaPb", "functional": "PBE-GGA", "state": "relaxed", "energy_ry_per_atom": -0.1533, "volume_a3_per_atom": 35.883, "delta_e_f_ev_per_atom": -0.116, "lattice_angstrom": [[5.877, 0.000, 0.000], [2.938, 5.090, 0.000], [2.938, 1.697, 4.799]], "species": ["Pb", "Cs", "Ca", "Na"], "frac_coords": [[0.750, 0.750, 0.750], [0.250, 0.250, 0.250], [0.500, 0.500, 0.500], [0.000, 0.000, 0.000]]}

---

(2)
{"formula": "CsNa2CaPd", "functional": "PBE-GGA", "state": "relaxed", "energy_ry_per_atom": -0.1604, "volume_a3_per_atom": 40.373, "delta_e_f_ev_per_atom": -0.045, "lattice_angstrom": [[6.045, 0.000, 0.000], [0.000, 6.045, 0.000], [0.000, 0.000, 5.523]], "species": ["Cs", "Na", "Na", "Ca", "Pd"], "frac_coords": [[0.500, 0.500, 0.500], [0.000, 0.500, 0.000], [0.500, 0.000, 0.000], [0.000, 0.000, 0.500], [0.000, 0.000, 0.000]]}

---

(3)
{"formula": "CsNa2CaPt", "functional": "PBE-GGA", "state": "relaxed", "energy_ry_per_atom": -0.1776, "volume_a3_per_atom": 39.229, "delta_e_f_ev_per_atom": -0.110, "lattice_angstrom": [[5.976, 0.000, 0.000], [0.000, 5.976, 0.000], [0.000, 0.000, 5.493]], "species": ["Cs", "Na", "Na", "Ca", "Pt"], "frac_coords": [[0.500, 0.500, 0.500], [0.000, 0.500, 0.000], [0.500, 0.000, 0.000], [0.000, 0.000, 0.500], [0.000, 0.000, 0.000]]}

---

(4)
{"formula": "CsRbNaCa", "functional": "PBE-GGA", "state": "relaxed", "energy_ry_per_atom": -0.0816, "volume_a3_per_atom": 62.857, "delta_e_f_ev_per_atom": 0.175, "lattice_angstrom": [[-1.924, 2.899, -6.171], [-6.587, 2.463, -0.855], [-1.144, 6.978, -0.431]], "species": ["Cs", "Na", "Ca", "Rb"], "frac_coords": [[0.250, 0.250, 0.250], [0.500, 0.500, 0.500], [0.750, 0.750, 0.750], [0.000, 0.000, 0.000]]}